[1]
A plane-wave DFT calculation with PBE was carried out for a relaxed structure of PRuSe2.

- calculated volume (Å³/atom) = 19.49
- crystal system = orthorhombic
- energy (eV per atom) = -5.39
- energy relative to the elements, uncorrected (meV/atom) = 20

```
PRuSe2
1.0
-1.8407 3.0525 -3.5086
-1.3371 0.0454 4.8194
2.7533 2.5111 0.7402
P Ru Se
1 1 2
Cartesian
-0.2122 2.8045 1.0255
1.3767 1.2555 0.3701
-1.4310 0.6060 3.2669
-1.7468 2.4919 -1.9560
```

---

[2]
A plane-wave DFT calculation with PBE was carried out for a relaxed structure of Fe7PtRh3.

- calculated volume (Å³/atom) = 14.08
- crystal system = orthorhombic
- energy (eV per atom) = -7.73

```
Fe7PtRh3
1.0
2.6479 0.0000 0.0000
-1.3239 8.5854 0.0000
0.0000 0.0000 13.6246
Rh Fe Pt
6 14 2
Cartesian
0.0000 2.0666 6.7922
1.3239 6.5187 6.8324
0.0000 3.9598 10.2184
0.0000 2.0666 0.0201
1.3239 6.5187 13.6045
1.3239 4.6256 3.4061
0.0000 6.5056 4.6755
0.0000 4.2500 1.1340
1.3239 0.2288 1.1786
0.0000 6.5056 2.1368
0.0000 8.3566 7.9909
1.3239 2.1948 3.4061
1.3239 4.3354 12.4906
1.3239 4.3354 7.9463
1.3239 0.2288 5.6337
0.0000 6.3906 10.2184
1.3239 2.0798 8.9491
0.0000 4.2500 5.6783
1.3239 2.0798 11.4878
0.0000 8.3566 12.4460
0.0000 0.1135 10.2184
1.3239 8.4719 3.4061
```

---

[3]
A plane-wave DFT calculation with PBE was carried out for a relaxed structure of IrPtCl2.

- calculated volume (Å³/atom) = 16.33
- crystal system = tetragonal
- energy (eV per atom) = -3.49
- energy relative to the elements, uncorrected (meV/atom) = 1155

```
IrPtCl2
1.0
-0.5711 -4.1973 -1.8301
4.4470 -0.9480 0.7864
-0.7256 -1.1080 2.7676
Cl Pt Ir
2 1 1
Cartesian
1.9379 -2.5726 -0.5218
0.0000 0.0000 0.0000
1.8607 -1.0280 1.7770
-0.6484 -2.6526 0.4687
```